# 1
MoSCl2 | PBE | optimized geometry

Calculated values
* calculated total energy: -3.94 eV/atom
* excess energy over the best structure of this formula in the dataset: 1070 meV/atom
* raw formation energy: 70.2 kJ/mol of atoms

abc: 6.583 6.583 6.583
angles: 90.00 90.00 90.00
Fractional coordinates of all 16 atoms:
Mo: 0.000 0.000 0.000
Mo: 0.000 0.500 0.500
Mo: 0.500 0.000 0.500
Mo: 0.500 0.500 0.000
S: 0.000 0.000 0.500
S: 0.000 0.500 0.000
S: 0.500 0.000 0.000
S: 0.500 0.500 0.500
Cl: 0.250 0.250 0.250
Cl: 0.250 0.250 0.750
Cl: 0.250 0.750 0.250
Cl: 0.250 0.750 0.750
Cl: 0.750 0.250 0.250
Cl: 0.750 0.250 0.750
Cl: 0.750 0.750 0.250
Cl: 0.750 0.750 0.750



# 2
CdSb2SeS | PBE | optimized geometry

Calculated values
* calculated total energy: -2.90 eV/atom
* raw formation energy: 44.1 kJ/mol of atoms

abc: 5.312 5.312 4.834
angles: 90.00 90.00 90.00
Fractional coordinates of all 5 atoms:
Cd: 0.000 0.000 0.000
Sb: 0.000 0.500 0.500
Sb: 0.500 0.000 0.500
Se: 0.500 0.500 0.000
S: 0.500 0.500 0.500



# 3
Mg2ZnPSe | PBE | optimized geometry

Calculated values
* calculated total energy: -2.64 eV/atom
* raw formation energy: 3.0 kJ/mol of atoms

abc: 4.827 4.827 5.218
angles: 90.00 90.00 90.00
Fractional coordinates of all 5 atoms:
Mg: 0.000 0.500 0.000
Mg: 0.500 0.000 0.000
Zn: 0.000 0.000 0.500
P: 0.500 0.500 0.000
Se: 0.500 0.500 0.500



# 4
VCoH4 | PBE | optimized geometry

Calculated values
* calculated total energy: -4.98 eV/atom
* excess energy over the best structure of this formula in the dataset: 0 meV/atom

abc: 5.062 5.062 5.062
angles: 132.46 132.46 69.50
Fractional coordinates of all 12 atoms:
V: 0.375 0.625 0.750
V: 0.625 0.375 0.250
Co: 0.125 0.875 0.250
Co: 0.875 0.125 0.750
H: 0.000 0.233 0.233
H: 0.000 0.767 0.767
H: 0.233 0.000 0.733
H: 0.233 0.500 0.233
H: 0.500 0.233 0.733
H: 0.500 0.767 0.267
H: 0.767 0.000 0.267
H: 0.767 0.500 0.767



# 5
Ge3SbS | PBE | optimized geometry

Calculated values
* calculated total energy: -3.33 eV/atom
* excess energy over the best structure of this formula in the dataset: 644 meV/atom
* raw formation energy: 104.7 kJ/mol of atoms

abc: 5.364 5.364 5.364
angles: 90.00 90.00 90.00
Fractional coordinates of all 5 atoms:
Ge: 0.000 0.000 0.500
Ge: 0.000 0.500 0.000
Ge: 0.500 0.000 0.000
Sb: 0.000 0.000 0.000
S: 0.500 0.500 0.500



# 6
KAgTeI2 | PBE | optimized geometry

Calculated values
* calculated total energy: -2.41 eV/atom
* excess energy over the best structure of this formula in the dataset: 0 meV/atom
* raw formation energy: -36.0 kJ/mol of atoms

abc: 5.954 5.954 5.495
angles: 90.00 90.00 90.00
Fractional coordinates of all 5 atoms:
K: 0.000 0.000 0.000
Ag: 0.500 0.500 0.500
Te: 0.500 0.500 0.000
I: 0.000 0.500 0.500
I: 0.500 0.000 0.500